# CsPr2Se3 | Alexandria via LeMat-Bulk | PBE | optimized geometry
data_CsPr2Se3
_space_group_name_H-M_alt 'P 1 21/m 1'
_space_group_IT_number 11
_cell_length_a 7.720
_cell_length_b 8.008
_cell_length_c 7.721
_cell_angle_alpha 90.00
_cell_angle_beta 119.85
_cell_angle_gamma 90.00
loop_
_space_group_symop_operation_xyz
'x,y,z'
'-x,-y,-z'
'-x,y+1/2,-z'
'x,-y+1/2,z'
loop_
_atom_site_label
_atom_site_type_symbol
_atom_site_fract_x
_atom_site_fract_y
_atom_site_fract_z
Cs1 Cs 0.001 0.250 0.499
Pr1 Pr 0.333 0.000 0.166
Se1 Se 0.000 0.250 0.003
Se2 Se 0.498 0.250 0.998
Se3 Se 0.498 0.750 0.500
# Formation energy from raw total energies   -1.697 eV/atom
# Total energy   -5.17 eV per atom
# ΔE to the lowest computed polymorph   0.000 eV per atom
# Density of states at the Fermi level   0.36 states/eV/atom
# Calculated density   5.23 Mg/m³



# Cs2PrSmSe4 | Alexandria via LeMat-Bulk | PBE | optimized geometry
data_Cs2PrSmSe4
_space_group_name_H-M_alt 'P 1 2/m 1'
_space_group_IT_number 10
_cell_length_a 7.612
_cell_length_b 4.394
_cell_length_c 8.781
_cell_angle_alpha 90.00
_cell_angle_beta 106.77
_cell_angle_gamma 90.00
loop_
_space_group_symop_operation_xyz
'x,y,z'
'-x,-y,-z'
'-x,y,-z'
'x,-y,z'
loop_
_atom_site_label
_atom_site_type_symbol
_atom_site_fract_x
_atom_site_fract_y
_atom_site_fract_z
Cs1 Cs 0.000 0.000 0.000
Cs2 Cs 0.500 0.500 0.000
Pr1 Pr 0.000 0.500 0.500
Sm1 Sm 0.500 0.000 0.500
Se1 Se 0.235 0.000 0.691
Se2 Se 0.274 0.500 0.311
# Formation energy from raw total energies   -1.728 eV/atom
# Total energy   -4.87 eV per atom
# Density of states at the Fermi level   0.00 states/eV/atom
# Calculated density   5.15 Mg/m³



# Cs3Pr2SmSe6 | Alexandria via LeMat-Bulk | PBE | optimized geometry
data_Cs3Pr2SmSe6
_space_group_name_H-M_alt 'C 1 2/m 1'
_space_group_IT_number 12
_cell_length_a 7.635
_cell_length_b 13.222
_cell_length_c 8.789
_cell_angle_alpha 90.00
_cell_angle_beta 106.85
_cell_angle_gamma 90.00
loop_
_space_group_symop_operation_xyz
'x,y,z'
'-x,-y,-z'
'-x,y,-z'
'x,-y,z'
'x+1/2,y+1/2,z'
'-x+1/2,-y+1/2,-z'
'-x+1/2,y+1/2,-z'
'x+1/2,-y+1/2,z'
loop_
_atom_site_label
_atom_site_type_symbol
_atom_site_fract_x
_atom_site_fract_y
_atom_site_fract_z
Cs1 Cs 0.000 0.000 0.000
Cs2 Cs 0.000 0.332 0.000
Pr1 Pr 0.000 0.167 0.500
Sm1 Sm 0.000 0.500 0.500
Se1 Se 0.228 0.336 0.691
Se2 Se 0.235 0.000 0.691
# Formation energy from raw total energies   -1.728 eV/atom
# Total energy   -4.87 eV per atom
# Density of states at the Fermi level   0.00 states/eV/atom
# Calculated density   5.10 Mg/m³



# Cs4Pr3SmSe8 | Alexandria via LeMat-Bulk | PBE | optimized geometry
data_Cs4Pr3SmSe8
_space_group_name_H-M_alt 'R -3 m'
_space_group_IT_number 166
_space_group_name_Hall '-R 3 2"'
_cell_length_a 8.8301
_cell_length_b 8.8301
_cell_length_c 25.2469
_cell_angle_alpha 90.00
_cell_angle_beta 90.00
_cell_angle_gamma 120.00
loop_
_atom_site_label
_atom_site_type_symbol
_atom_site_fract_x
_atom_site_fract_y
_atom_site_fract_z
Cs1 Cs 0.0000 0.0000 0.0000
Cs2 Cs 0.0000 0.5000 0.0000
Pr1 Pr 0.0000 0.5000 0.5000
Sm1 Sm 0.0000 0.0000 0.5000
Se1 Se 0.0000 0.0000 0.2307
Se2 Se 0.0043 0.5021 0.2301
# Formation energy from raw total energies   -1.728 eV/atom
# Total energy   -4.87 eV per atom
# Density of states at the Fermi level   0.00 states/eV/atom
# Calculated density   5.07 Mg/m³



# Cs4Pr3SnSe8 | Alexandria via LeMat-Bulk | PBE | optimized geometry
data_Cs4Pr3SnSe8
_space_group_name_H-M_alt 'R -3 m'
_space_group_IT_number 166
_space_group_name_Hall '-R 3 2"'
_cell_length_a 8.8227
_cell_length_b 8.8227
_cell_length_c 25.1811
_cell_angle_alpha 90.00
_cell_angle_beta 90.00
_cell_angle_gamma 120.00
loop_
_atom_site_label
_atom_site_type_symbol
_atom_site_fract_x
_atom_site_fract_y
_atom_site_fract_z
Cs1 Cs 0.0000 0.0000 0.0000
Cs2 Cs 0.0000 0.5000 0.0000
Pr1 Pr 0.0000 0.5000 0.5000
Sn1 Sn 0.0000 0.0000 0.5000
Se1 Se 0.0000 0.0000 0.2310
Se2 Se 0.0070 0.5035 0.2294
# Formation energy from raw total energies   -1.459 eV/atom
# Total energy   -4.56 eV per atom
# Density of states at the Fermi level   0.12 states/eV/atom
# Calculated density   5.00 Mg/m³



# Cs2PrSn2Se4 | Alexandria via LeMat-Bulk | PBE | optimized geometry
data_Cs2PrSn2Se4
_space_group_name_H-M_alt 'C 1 2/m 1'
_space_group_IT_number 12
_cell_length_a 19.061
_cell_length_b 4.338
_cell_length_c 8.899
_cell_angle_alpha 90.00
_cell_angle_beta 115.83
_cell_angle_gamma 90.00
loop_
_space_group_symop_operation_xyz
'x,y,z'
'-x,-y,-z'
'-x,y,-z'
'x,-y,z'
'x+1/2,y+1/2,z'
'-x+1/2,-y+1/2,-z'
'-x+1/2,y+1/2,-z'
'x+1/2,-y+1/2,z'
loop_
_atom_site_label
_atom_site_type_symbol
_atom_site_fract_x
_atom_site_fract_y
_atom_site_fract_z
Cs1 Cs 0.124 0.000 0.062
Pr1 Pr 0.000 0.000 0.500
Sn1 Sn 0.185 0.500 0.521
Se1 Se 0.025 0.500 0.290
Se2 Se 0.173 0.000 0.709
# Formation energy from raw total energies   -1.038 eV/atom
# Total energy   -4.20 eV per atom
# Density of states at the Fermi level   0.41 states/eV/atom
# Calculated density   4.81 Mg/m³



# Cs3TbPr2Se6 | Alexandria via LeMat-Bulk | PBE | optimized geometry
data_Cs3TbPr2Se6
_space_group_name_H-M_alt 'C 1 2/m 1'
_space_group_IT_number 12
_cell_length_a 7.596
_cell_length_b 13.158
_cell_length_c 8.779
_cell_angle_alpha 90.00
_cell_angle_beta 106.76
_cell_angle_gamma 90.00
loop_
_space_group_symop_operation_xyz
'x,y,z'
'-x,-y,-z'
'-x,y,-z'
'x,-y,z'
'x+1/2,y+1/2,z'
'-x+1/2,-y+1/2,-z'
'-x+1/2,y+1/2,-z'
'x+1/2,-y+1/2,z'
loop_
_atom_site_label
_atom_site_type_symbol
_atom_site_fract_x
_atom_site_fract_y
_atom_site_fract_z
Cs1 Cs 0.000 0.000 0.000
Cs2 Cs 0.000 0.332 0.000
Tb1 Tb 0.000 0.500 0.500
Pr1 Pr 0.000 0.167 0.500
Se1 Se 0.226 0.338 0.689
Se2 Se 0.239 0.000 0.690
# Formation energy from raw total energies   -1.726 eV/atom
# Total energy   -4.86 eV per atom
# Density of states at the Fermi level   0.00 states/eV/atom
# Calculated density   5.19 Mg/m³



# Cs3Tb2PrSe6 | Alexandria via LeMat-Bulk | PBE | optimized geometry
data_Cs3Tb2PrSe6
_space_group_name_H-M_alt 'C 1 2/m 1'
_space_group_IT_number 12
_cell_length_a 7.509
_cell_length_b 13.005
_cell_length_c 8.760
_cell_angle_alpha 90.00
_cell_angle_beta 106.61
_cell_angle_gamma 90.00
loop_
_space_group_symop_operation_xyz
'x,y,z'
'-x,-y,-z'
'-x,y,-z'
'x,-y,z'
'x+1/2,y+1/2,z'
'-x+1/2,-y+1/2,-z'
'-x+1/2,y+1/2,-z'
'x+1/2,-y+1/2,z'
loop_
_atom_site_label
_atom_site_type_symbol
_atom_site_fract_x
_atom_site_fract_y
_atom_site_fract_z
Cs1 Cs 0.000 0.000 0.000
Cs2 Cs 0.000 0.335 0.000
Tb1 Tb 0.000 0.167 0.500
Pr1 Pr 0.000 0.500 0.500
Se1 Se 0.220 0.000 0.687
Se2 Se 0.234 0.329 0.688
# Formation energy from raw total energies   -1.728 eV/atom
# Total energy   -4.85 eV per atom
# Density of states at the Fermi level   0.00 states/eV/atom
# Calculated density   5.39 Mg/m³



# CsPrTeSe | Alexandria via LeMat-Bulk | PBE | optimized geometry
data_CsPrTeSe
_space_group_name_H-M_alt 'R 3 m'
_space_group_IT_number 160
_space_group_name_Hall 'R 3 -2"'
_cell_length_a 4.5431
_cell_length_b 4.5431
_cell_length_c 26.5034
_cell_angle_alpha 90.00
_cell_angle_beta 90.00
_cell_angle_gamma 120.00
loop_
_atom_site_label
_atom_site_type_symbol
_atom_site_fract_x
_atom_site_fract_y
_atom_site_fract_z
Cs1 Cs 0.0000 0.0000 0.0000
Pr1 Pr 0.0000 0.0000 0.1609
Te1 Te 0.0000 0.0000 0.5648
Se1 Se 0.0000 0.0000 0.7696
# Formation energy from raw total energies   -1.543 eV/atom
# Total energy   -4.61 eV per atom
# Density of states at the Fermi level   0.00 states/eV/atom
# Calculated density   5.05 Mg/m³



# Cs2PrThSe4 | Alexandria via LeMat-Bulk | PBE | optimized geometry
data_Cs2PrThSe4
_space_group_name_H-M_alt 'P 1 2/m 1'
_space_group_IT_number 10
_cell_length_a 7.561
_cell_length_b 4.373
_cell_length_c 8.826
_cell_angle_alpha 90.00
_cell_angle_beta 106.57
_cell_angle_gamma 90.00
loop_
_space_group_symop_operation_xyz
'x,y,z'
'-x,-y,-z'
'-x,y,-z'
'x,-y,z'
loop_
_atom_site_label
_atom_site_type_symbol
_atom_site_fract_x
_atom_site_fract_y
_atom_site_fract_z
Cs1 Cs 0.000 0.000 0.000
Cs2 Cs 0.500 0.500 0.000
Pr1 Pr 0.000 0.500 0.500
Th1 Th 0.500 0.000 0.500
Se1 Se 0.239 0.000 0.694
Se2 Se 0.276 0.500 0.307
# Formation energy from raw total energies   -1.628 eV/atom
# Total energy   -5.11 eV per atom
# Density of states at the Fermi level   0.52 states/eV/atom
# Calculated density   5.67 Mg/m³



# Cs3PrTh3Se8 | Alexandria via LeMat-Bulk | PBE | optimized geometry
data_Cs3PrTh3Se8
_space_group_name_H-M_alt 'C 1 2/m 1'
_space_group_IT_number 12
_cell_length_a 14.903
_cell_length_b 8.606
_cell_length_c 9.924
_cell_angle_alpha 90.00
_cell_angle_beta 120.08
_cell_angle_gamma 90.00
loop_
_space_group_symop_operation_xyz
'x,y,z'
'-x,-y,-z'
'-x,y,-z'
'x,-y,z'
'x+1/2,y+1/2,z'
'-x+1/2,-y+1/2,-z'
'-x+1/2,y+1/2,-z'
'x+1/2,-y+1/2,z'
loop_
_atom_site_label
_atom_site_type_symbol
_atom_site_fract_x
_atom_site_fract_y
_atom_site_fract_z
Cs1 Cs 0.000 0.000 0.000
Cs2 Cs 0.250 0.250 0.000
Pr1 Pr 0.000 0.000 0.500
Th1 Th 0.000 0.500 0.500
Th2 Th 0.250 0.250 0.500
Se1 Se 0.021 0.256 0.309
Se2 Se 0.231 0.500 0.694
Se3 Se 0.235 0.000 0.691
# Formation energy from raw total energies   -1.633 eV/atom
# Total energy   -5.46 eV per atom
# Density of states at the Fermi level   0.64 states/eV/atom
# Calculated density   5.63 Mg/m³



# Cs3Pr2ThSe6 | Alexandria via LeMat-Bulk | PBE | optimized geometry
data_Cs3Pr2ThSe6
_space_group_name_H-M_alt 'C 1 2/m 1'
_space_group_IT_number 12
_cell_length_a 7.605
_cell_length_b 13.171
_cell_length_c 8.816
_cell_angle_alpha 90.00
_cell_angle_beta 106.71
_cell_angle_gamma 90.00
loop_
_space_group_symop_operation_xyz
'x,y,z'
'-x,-y,-z'
'-x,y,-z'
'x,-y,z'
'x+1/2,y+1/2,z'
'-x+1/2,-y+1/2,-z'
'-x+1/2,y+1/2,-z'
'x+1/2,-y+1/2,z'
loop_
_atom_site_label
_atom_site_type_symbol
_atom_site_fract_x
_atom_site_fract_y
_atom_site_fract_z
Cs1 Cs 0.000 0.000 0.000
Cs2 Cs 0.000 0.331 0.000
Pr1 Pr 0.000 0.166 0.500
Th1 Th 0.000 0.500 0.500
Se1 Se 0.227 0.337 0.693
Se2 Se 0.239 0.000 0.693
# Formation energy from raw total energies   -1.668 eV/atom
# Total energy   -5.04 eV per atom
# Density of states at the Fermi level   0.38 states/eV/atom
# Calculated density   5.44 Mg/m³